4
Lattice="4.080 0.000 0.000 0.000 5.193 0.000 0.000 0.000 5.407" Properties=species:S:1:pos:R:3 comment="AlTePb2 PBE optimized geometry" relative_energy_ev_per_atom=0.062 dos_ef_per_ev_cell=2.0 formation_energy_uncorrected_ev_per_fu=0.47 e_tot_ev_per_atom=-3.458 pbc="T T T"
Al 0.000 0.000 0.000
Te 2.040 0.000 2.704
Pb 0.000 2.596 2.704
Pb 2.040 2.596 0.000

7
Lattice="-4.245 4.245 3.361 4.245 -4.245 3.361 4.245 4.245 -3.361" Properties=species:S:1:pos:R:3 comment="Al2Te4Pb PBE optimized geometry" relative_energy_ev_per_atom=0.071 dos_ef_per_ev_cell=0.2 formation_energy_uncorrected_ev_per_fu=-2.52 e_tot_ev_per_atom=-3.754 pbc="T T T"
Al 4.245 0.000 1.681
Al 0.000 4.245 1.681
Te 2.681 1.340 0.000
Te 2.905 -1.564 3.361
Te 1.340 5.808 0.000
Te 1.564 2.905 3.361
Pb 0.000 0.000 3.361

| no. | volume (Å³ per cell) |
| --- | --- |
| 1 | 114.6 |
| 2 | 242.3 |